4
Lattice="-1.546 0.995 4.524 -1.144 -3.642 3.045 2.869 -0.973 3.830" Properties=species:S:1:pos:R:3 comment="NaLiHgAu (PBE, relaxed)" de_polymorph_mev_per_atom=49 formation_enthalpy_0k_ev_per_atom=-0.3027 pbc="T T T"
Na 0.134 -2.715 8.549
Au 0.000 0.000 0.000
Hg 0.090 -1.810 5.699
Li 0.045 -0.905 2.850

10
Lattice="-0.401 3.156 6.444 4.594 -4.845 2.658 2.293 1.776 -0.727" Properties=species:S:1:pos:R:3 comment="Zn2Ga2Mo (PBE, relaxed)" de_polymorph_mev_per_atom=33 formation_enthalpy_0k_ev_per_atom=0.2516 pbc="T T T"
Mo 0.000 0.000 0.000
Mo 2.097 -0.845 4.551
Zn 3.875 -3.058 4.754
Zn 2.514 -0.257 7.305
Zn 0.318 1.369 4.348
Zn 1.679 -1.432 1.798
Ga 4.191 -1.836 2.588
Ga 4.650 -0.953 6.192
Ga 2.295 1.922 5.787
Ga 1.836 1.040 2.184

12
Lattice="5.315 0.000 0.000 2.658 4.603 0.000 2.658 1.534 8.621" Properties=species:S:1:pos:R:3 comment="Sr2PrCu9 (PBE, relaxed)" formation_enthalpy_0k_ev_per_atom=-0.0482 pbc="T T T"
Sr 7.973 4.603 3.674
Sr 2.658 1.534 4.947
Pr 0.000 0.000 0.000
Cu 7.973 4.603 8.568
Cu 2.658 1.534 0.054
Cu 5.315 3.069 4.311
Cu 4.017 2.319 2.018
Cu 6.613 2.319 2.018
Cu 5.315 4.567 2.018
Cu 6.613 3.818 6.603
Cu 5.315 1.570 6.603
Cu 4.017 3.818 6.603

5
Lattice="4.016 0.000 0.000 0.000 4.833 0.000 0.000 0.000 4.016" Properties=species:S:1:pos:R:3 comment="SiHgB2W (PBE, relaxed)" de_polymorph_mev_per_atom=448 formation_energy_uncorrected_kj_per_mol_atoms=155 pbc="T T T"
Si 0.000 0.000 0.000
B 0.000 0.000 2.008
B 2.008 0.000 0.000
Hg 2.008 2.417 2.008
W 0.000 2.417 0.000

15
Lattice="-3.239 -0.916 4.660 4.824 -3.026 -0.787 4.897 6.584 4.698" Properties=species:S:1:pos:R:3 comment="Ce3ZnB2Pt9 (PBE, relaxed)" formation_enthalpy_0k_ev_per_atom=-0.7686 pbc="T T T"
Ce 5.133 1.707 3.904
Ce 0.000 0.000 0.000
Ce 1.349 0.936 4.667
Zn 2.449 3.292 2.349
B 2.874 -1.330 1.737
B 3.607 3.972 6.834
Pt 1.580 3.420 7.101
Pt 4.008 1.896 6.705
Pt 3.211 3.881 4.755
Pt 3.271 -1.238 3.816
Pt 2.473 0.746 1.866
Pt 4.902 -0.778 1.470
Pt -1.620 -0.458 2.330
Pt 2.412 -1.513 -0.394
Pt 0.792 -1.971 1.936

4
Lattice="-6.861 0.167 5.114 -7.781 -1.471 3.250 -6.319 -2.420 5.241" Properties=species:S:1:pos:R:3 comment="CuNi2W (PBE, relaxed)" de_polymorph_mev_per_atom=175 formation_enthalpy_0k_ev_per_atom=0.1866 pbc="T T T"
Cu -15.619 -2.775 10.138
Ni -20.941 -3.721 13.593
Ni -5.310 -0.944 3.447
W -10.532 -1.871 6.836

3
Lattice="-3.219 -0.495 1.825 2.029 -2.956 -1.041 2.763 0.164 4.917" Properties=species:S:1:pos:R:3 comment="GdDyF (PBE, relaxed)" formation_energy_uncorrected_kj_per_mol_atoms=-148 pbc="T T T"
F 2.110 -2.027 3.173
Gd 2.551 0.151 4.540
Dy -0.326 -1.247 2.905

8
Lattice="-1.500 1.726 7.392 -7.515 -1.397 -1.199 -3.768 -4.968 4.445" Properties=species:S:1:pos:R:3 comment="KSc2Ni (PBE, relaxed)" de_polymorph_mev_per_atom=491 formation_enthalpy_0k_ev_per_atom=0.5442 pbc="T T T"
Sc -3.194 0.094 7.430
Sc -6.951 -0.605 6.829
Sc -4.327 -3.253 5.956
Sc -5.079 -2.390 9.651
Ni 0.000 0.000 0.000
Ni -4.888 -1.539 7.466
K -4.507 0.165 3.097
K -7.895 -3.100 3.171

8
Lattice="3.640 0.000 0.000 0.000 6.268 -0.144 0.000 2.406 11.858" Properties=species:S:1:pos:R:3 comment="LaTb2NdSm4 (PBE, relaxed)" formation_enthalpy_0k_ev_per_atom=0.0183 pbc="T T T"
La 1.820 3.134 -0.072
Tb 0.000 2.406 11.858
Tb 1.820 1.203 5.929
Nd 0.000 4.337 5.857
Sm 0.000 6.508 8.760
Sm 3.640 2.166 2.953
Sm 1.820 5.309 2.858
Sm 1.820 3.366 8.855

5
Lattice="4.754 0.000 0.000 0.000 4.754 0.000 0.000 0.000 4.754" Properties=species:S:1:pos:R:3 comment="CuPdSe3 (PBE, relaxed)" de_polymorph_mev_per_atom=788 formation_energy_uncorrected_kj_per_mol_atoms=61 pbc="T T T"
Cu 0.000 0.000 0.000
Se 0.000 2.377 0.000
Se 0.000 0.000 2.377
Se 2.377 0.000 0.000
Pd 2.377 2.377 2.377

12
Lattice="-0.353 -2.310 -2.747 5.783 0.565 -1.218 1.429 -5.342 4.309" Properties=species:S:1:pos:R:3 comment="Mn2SiNi2Ge (PBE, relaxed)" formation_energy_uncorrected_kj_per_mol_atoms=-36 pbc="T T T"
Mn 3.817 -5.812 2.030
Mn 5.506 -1.034 -2.205
Mn 3.883 -2.757 1.820
Mn 0.785 -2.268 1.806
Si 4.667 -2.760 -0.646
Si 2.121 -4.334 1.005
Ni 2.371 -2.643 -0.450
Ni 5.786 -4.317 0.520
Ni 4.024 -0.699 0.071
Ni 1.992 -4.195 3.272
Ge 1.645 -0.506 0.214
Ge 5.618 -4.266 2.866

4
Lattice="6.138 0.037 0.184 3.409 5.105 -0.184 -4.241 -3.560 2.656" Properties=species:S:1:pos:R:3 comment="LaTaPt2 (PBE, relaxed)" de_polymorph_mev_per_atom=416 formation_enthalpy_0k_ev_per_atom=-0.3588 pbc="T T T"
La 1.916 2.028 1.236
Pt 9.346 5.033 0.000
Pt 3.315 -0.487 1.420
Ta 5.050 2.720 0.000

4
Lattice="4.682 0.003 0.000 3.731 2.828 0.000 1.209 0.407 4.192" Properties=species:S:1:pos:R:3 comment="Si2TcMo (PBE, relaxed)" de_polymorph_mev_per_atom=122 formation_energy_uncorrected_kj_per_mol_atoms=-32 pbc="T T T"
Mo 7.244 2.438 3.376
Si 9.552 3.214 4.036
Si 2.461 0.828 1.232
Tc 4.796 1.614 1.838

9
Lattice="-3.109 -1.036 -1.353 0.511 -6.362 3.699 -3.295 5.821 3.111" Properties=species:S:1:pos:R:3 comment="Tm3Sn2Ru3C (PBE, relaxed)" formation_enthalpy_0k_ev_per_atom=-0.3043 pbc="T T T"
Tm -1.148 2.028 1.084
Tm -1.814 -0.353 4.438
Tm 0.178 -2.216 1.288
Sn -3.580 1.242 2.631
Sn -2.312 -2.819 2.827
Ru -1.152 -5.520 2.232
Ru -2.149 -0.634 0.779
Ru -4.145 4.058 1.769
C 0.000 0.000 0.000

12
Lattice="-2.001 0.776 3.290 -3.212 -1.626 -1.571 3.162 -10.498 4.400" Properties=species:S:1:pos:R:3 comment="Mn2Pd9W (PBE, relaxed)" formation_enthalpy_0k_ev_per_atom=-0.1838 pbc="T T T"
Mn 1.075 -3.569 1.496
Mn 2.087 -6.929 2.904
Pd -2.607 -0.425 0.860
Pd -1.562 -3.895 2.314
Pd -0.490 -7.454 3.805
Pd -0.491 -1.306 2.355
Pd 0.581 -4.861 3.845
Pd 1.652 -8.417 5.335
Pd -1.096 -2.507 -0.076
Pd -0.025 -6.062 1.415
Pd 1.046 -9.618 2.905
W 0.000 0.000 0.000

4
Lattice="-1.286 2.412 -2.933 0.807 -2.789 -2.647 -3.632 -1.440 0.409" Properties=species:S:1:pos:R:3 comment="LuCu2Ir (PBE, relaxed)" de_polymorph_mev_per_atom=0 formation_enthalpy_0k_ev_per_atom=-0.3776 pbc="T T T"
Ir -0.643 1.206 -1.467
Lu -2.056 -0.908 -2.586
Cu -1.816 -0.720 0.205
Cu 0.404 -1.394 -1.323

10
Lattice="4.478 0.000 -1.056 0.000 6.436 0.000 0.466 0.000 11.995" Properties=species:S:1:pos:R:3 comment="BaSr2Pd2 (PBE, relaxed)" de_polymorph_mev_per_atom=0 formation_enthalpy_0k_ev_per_atom=-0.4904 pbc="T T T"
Ba 4.375 2.269 8.528
Ba 0.569 5.487 2.411
Sr 3.475 3.693 4.713
Sr 1.468 0.475 6.226
Sr 2.589 2.226 0.957
Sr 2.354 5.444 9.982
Pd 4.115 5.468 7.429
Pd 0.828 2.250 3.510
Pd 3.192 0.533 3.513
Pd 1.751 3.751 7.426

4
Lattice="3.337 0.000 0.000 0.000 3.337 0.000 0.000 0.000 7.298" Properties=species:S:1:pos:R:3 comment="MnTlPtSe (PBE, relaxed)" de_polymorph_mev_per_atom=44 formation_energy_uncorrected_kj_per_mol_atoms=-11 pbc="T T T"
Mn 0.000 0.000 0.628
Tl 0.000 0.000 4.564
Pt 1.668 1.668 6.479
Se 1.668 1.668 1.802

4
Lattice="4.687 0.000 0.000 2.343 4.059 0.000 2.343 1.353 3.827" Properties=species:S:1:pos:R:3 comment="TmCuHgRh (PBE, relaxed)" formation_enthalpy_0k_ev_per_atom=-0.3381 pbc="T T T"
Tm 4.687 2.706 1.913
Rh 7.030 4.059 2.870
Hg 0.000 0.000 0.000
Cu 2.343 1.353 0.957

4
Lattice="-3.493 -1.731 5.754 -0.146 -4.025 5.664 0.063 -0.181 6.948" Properties=species:S:1:pos:R:3 comment="SrSi2Ag (PBE, relaxed)" formation_energy_uncorrected_kj_per_mol_atoms=-2 pbc="T T T"
Ag -2.586 -4.293 13.280
Si -3.546 -5.887 18.210
Si -1.009 -1.675 5.181
Sr -1.800 -2.989 9.245